Record 1
Computed, not measured: a relaxed ThAg5Br12 crystal at the PBE-GGA level of DFT.

abc: 6.9524 6.9524 14.2336
angles: 97.61 97.61 113.43
Atoms (fractional coordinates):
Th1 0.0000 0.0000 0.0000
Ag1 0.1666 0.8334 0.5000
Ag2 0.3240 0.6760 0.0000
Ag3 0.5000 0.5000 0.5000
Ag4 0.6760 0.3240 0.0000
Ag5 0.8334 0.1666 0.5000
Br1 0.0786 0.7445 0.1282
Br2 0.1633 0.1633 0.6131
Br3 0.1700 0.5030 0.3872
Br4 0.2555 0.9214 0.8718
Br5 0.3733 0.3733 0.1085
Br6 0.4970 0.8300 0.6128
Br7 0.5030 0.1700 0.3872
Br8 0.6267 0.6267 0.8915
Br9 0.7445 0.0786 0.1282
Br10 0.8300 0.4970 0.6128
Br11 0.8367 0.8367 0.3869
Br12 0.9214 0.2555 0.8718

- Energy relative to the elements, uncorrected: -0.646 eV per atom
- Electronic total energy: -2.965 eV per atom
- Fermi-level density of states: 0.740 states/eV/atom

Record 2
Computed, not measured: a relaxed Hg2Pd4Au5 crystal at the PBE-GGA level of DFT.

abc: 10.0515 10.0515 7.0861
angles: 97.56 97.56 16.37
Atoms (fractional coordinates):
Hg1 0.0922 0.0922 0.2210
Hg2 0.9078 0.9078 0.7790
Pd1 0.0457 0.0457 0.8476
Pd2 0.3204 0.3204 0.0262
Pd3 0.6796 0.6796 0.9738
Pd4 0.9543 0.9543 0.1524
Au1 0.1407 0.1407 0.6126
Au2 0.2337 0.2337 0.3143
Au3 0.5000 0.5000 0.5000
Au4 0.7663 0.7663 0.6857
Au5 0.8593 0.8593 0.3874

- Energy above the most stable polymorph in this dataset: 0.072 eV/atom
- Electronic total energy: -3.415 eV per atom
- Fermi-level density of states: 0.424 states/eV/atom
- DFT formation energy: 1.7 kJ per mole of atoms

Record 3
Computed, not measured: a relaxed Pr2Zn2InPt5 crystal at the PBE-GGA level of DFT.

abc: 9.9010 9.9010 3.8728
angles: 90.00 90.00 90.00
Atoms (fractional coordinates):
Pr1 0.1784 0.3216 0.0000
Pr2 0.3216 0.8216 0.0000
Pr3 0.6784 0.1784 0.0000
Pr4 0.8216 0.6784 0.0000
Zn1 0.1187 0.6187 0.0000
Zn2 0.3813 0.1187 0.0000
Zn3 0.6187 0.8813 0.0000
Zn4 0.8813 0.3813 0.0000
In1 0.0000 0.0000 0.0000
In2 0.5000 0.5000 0.0000
Pt1 0.0000 0.5000 0.5000
Pt2 0.0635 0.7898 0.5000
Pt3 0.2102 0.0635 0.5000
Pt4 0.2898 0.5635 0.5000
Pt5 0.4365 0.2898 0.5000
Pt6 0.5000 0.0000 0.5000
Pt7 0.5635 0.7102 0.5000
Pt8 0.7102 0.4365 0.5000
Pt9 0.7898 0.9365 0.5000
Pt10 0.9365 0.2102 0.5000

- Electronic total energy: -5.272 eV per atom
- Fermi-level density of states: 0.453 states/eV/atom
- DFT formation energy: -74.0 kJ per mole of atoms

Record 4
Computed, not measured: a relaxed TbPm3Nd6Tm2 crystal at the PBE-GGA level of DFT.

abc: 6.3047 6.3047 11.9664
angles: 95.03 95.03 120.00
Atoms (fractional coordinates):
Tb1 0.0000 0.0000 0.0000
Pm1 0.1668 0.8332 0.5000
Pm2 0.5000 0.5000 0.5000
Pm3 0.8332 0.1668 0.5000
Nd1 0.0826 0.4165 0.2461
Nd2 0.2512 0.2512 0.7541
Nd3 0.4165 0.0826 0.2461
Nd4 0.5835 0.9174 0.7539
Nd5 0.7488 0.7488 0.2459
Nd6 0.9174 0.5835 0.7539
Tm1 0.3334 0.6666 0.0000
Tm2 0.6666 0.3334 0.0000

- Electronic total energy: -4.688 eV per atom
- Fermi-level density of states: 1.271 states/eV/atom
- DFT formation energy: 1.4 kJ per mole of atoms

Record 5
Computed, not measured: a relaxed Ca2P3Pt12Rh crystal at the PBE-GGA level of DFT.

abc: 7.6568 7.6568 7.6568
angles: 64.83 64.83 64.83
Atoms (fractional coordinates):
Ca1 0.1059 0.1059 0.1059
Ca2 0.8941 0.8941 0.8941
P1 0.0000 0.5000 0.5000
P2 0.5000 0.0000 0.5000
P3 0.5000 0.5000 0.0000
Pt1 0.1201 0.6280 0.6280
Pt2 0.1548 0.1548 0.6005
Pt3 0.1548 0.6005 0.1548
Pt4 0.3720 0.3720 0.8799
Pt5 0.3720 0.8799 0.3720
Pt6 0.3995 0.8452 0.8452
Pt7 0.6005 0.1548 0.1548
Pt8 0.6280 0.1201 0.6280
Pt9 0.6280 0.6280 0.1201
Pt10 0.8452 0.3995 0.8452
Pt11 0.8452 0.8452 0.3995
Pt12 0.8799 0.3720 0.3720
Rh1 0.5000 0.5000 0.5000

- Electronic total energy: -5.810 eV per atom
- Fermi-level density of states: 0.620 states/eV/atom
- DFT formation energy: -24.1 kJ per mole of atoms

Record 6
Computed, not measured: a relaxed Na3CdIn5 crystal at the PBE-GGA level of DFT.

abc: 8.9508 8.9508 8.9508
angles: 119.94 119.94 90.11
Atoms (fractional coordinates):
Na1 0.1100 0.6100 0.7200
Na2 0.2500 0.2500 0.0000
Na3 0.3900 0.1100 0.5000
Na4 0.6100 0.8900 0.5000
Na5 0.7500 0.7500 0.0000
Na6 0.8900 0.3900 0.2800
Cd1 0.2500 0.7500 0.5000
Cd2 0.7500 0.2500 0.5000
In1 0.0000 0.0000 0.0000
In2 0.0635 0.1642 0.5000
In3 0.1642 0.6642 0.1007
In4 0.3358 0.4365 0.5000
In5 0.4365 0.9365 0.1007
In6 0.5000 0.5000 0.0000
In7 0.5635 0.0635 0.8993
In8 0.6642 0.5635 0.5000
In9 0.8358 0.3358 0.8993
In10 0.9365 0.8358 0.5000

- Electronic total energy: -2.023 eV per atom
- Fermi-level density of states: 0.571 states/eV/atom
- DFT formation energy: 3.8 kJ per mole of atoms

Record 7
Computed, not measured: a relaxed LiPmP2 crystal at the PBE-GGA level of DFT.

abc: 4.8069 4.8069 4.8069
angles: 60.00 60.00 60.00
Atoms (fractional coordinates):
Li1 0.0000 0.0000 0.0000
Pm1 0.5000 0.5000 0.5000
P1 0.2500 0.2500 0.2500
P2 0.7500 0.7500 0.7500

- Energy above the most stable polymorph in this dataset: 0.203 eV/atom
- Electronic total energy: -4.980 eV per atom
- Fermi-level density of states: 1.022 states/eV/atom
- DFT formation energy: -58.8 kJ per mole of atoms

Record 8
Computed, not measured: a relaxed FeH crystal at the PBE-GGA level of DFT.

abc: 4.4538 4.4538 4.4538
angles: 109.47 109.47 109.47
Atoms (fractional coordinates):
Fe1 0.0000 0.0000 0.3802
Fe2 0.0000 0.3802 0.0000
Fe3 0.3802 0.0000 0.0000
Fe4 0.6198 0.6198 0.6198
H1 0.0000 0.0000 0.7340
H2 0.0000 0.7340 0.0000
H3 0.2660 0.2660 0.2660
H4 0.7340 0.0000 0.0000

- Electronic total energy: -5.509 eV per atom
- Fermi-level density of states: 0.580 states/eV/atom

Record 9
Computed, not measured: a relaxed SmSi7Os3 crystal at the PBE-GGA level of DFT.

abc: 8.0487 8.0487 8.0487
angles: 56.97 56.97 56.97
Atoms (fractional coordinates):
Sm1 0.0000 0.0000 0.0000
Sm2 0.5000 0.5000 0.5000
Si1 0.0615 0.8535 0.6693
Si2 0.1465 0.3307 0.9385
Si3 0.1693 0.3535 0.5615
Si4 0.2500 0.2500 0.2500
Si5 0.3307 0.9385 0.1465
Si6 0.3535 0.5615 0.1693
Si7 0.4385 0.8307 0.6465
Si8 0.5615 0.1693 0.3535
Si9 0.6465 0.4385 0.8307
Si10 0.6693 0.0615 0.8535
Si11 0.7500 0.7500 0.7500
Si12 0.8307 0.6465 0.4385
Si13 0.8535 0.6693 0.0615
Si14 0.9385 0.1465 0.3307
Os1 0.0780 0.7500 0.4220
Os2 0.2500 0.5780 0.9220
Os3 0.4220 0.0780 0.7500
Os4 0.5780 0.9220 0.2500
Os5 0.7500 0.4220 0.0780
Os6 0.9220 0.2500 0.5780

- Energy relative to the elements, uncorrected: -0.440 eV per atom
- Electronic total energy: -7.383 eV per atom
- Fermi-level density of states: 0.508 states/eV/atom

Record 10
Computed, not measured: a relaxed TiCrGaRe crystal at the PBE-GGA level of DFT.

abc: 4.3190 4.3190 4.3190
angles: 60.00 60.00 60.00
Atoms (fractional coordinates):
Ti1 0.0000 0.0000 0.0000
Cr1 0.5000 0.5000 0.5000
Ga1 0.2500 0.2500 0.2500
Re1 0.7500 0.7500 0.7500

- Electronic total energy: -8.340 eV per atom
- Fermi-level density of states: 1.203 states/eV/atom
- DFT formation energy: -8.9 kJ per mole of atoms

Record 11
Computed, not measured: a relaxed Ba2PrNpS6 crystal at the PBE-GGA level of DFT.

abc: 7.2801 7.5953 12.7254
angles: 90.00 124.65 90.00
Atoms (fractional coordinates):
Ba1 0.2316 0.0644 0.2501
Ba2 0.2316 0.4356 0.7501
Ba3 0.7684 0.5644 0.2499
Ba4 0.7684 0.9356 0.7499
Pr1 0.5000 0.0000 0.0000
Pr2 0.5000 0.5000 0.5000
Np1 0.0000 0.0000 0.5000
Np2 0.0000 0.5000 0.0000
S1 0.1392 0.2134 0.9494
S2 0.1392 0.2866 0.4494
S3 0.2404 0.6927 0.9525
S4 0.2404 0.8073 0.4525
S5 0.3313 0.0256 0.7390
S6 0.3313 0.4744 0.2390
S7 0.6687 0.5256 0.7610
S8 0.6687 0.9744 0.2610
S9 0.7596 0.1927 0.5475
S10 0.7596 0.3073 0.0475
S11 0.8608 0.7134 0.5506
S12 0.8608 0.7866 0.0506

- Energy relative to the elements, uncorrected: -1.763 eV per atom
- Electronic total energy: -6.396 eV per atom
- Fermi-level density of states: 0.751 states/eV/atom

Record 12
Computed, not measured: a relaxed Ac2La6Ho crystal at the PBE-GGA level of DFT.

abc: 3.7773 3.7773 27.9183
angles: 90.00 90.00 120.00
Atoms (fractional coordinates):
Ac1 0.0000 0.0000 0.1723
Ac2 0.0000 0.0000 0.8277
La1 0.0000 0.0000 0.3973
La2 0.0000 0.0000 0.6027
La3 0.6667 0.3333 0.0610
La4 0.6667 0.3333 0.2880
La5 0.6667 0.3333 0.7120
La6 0.6667 0.3333 0.9390
Ho1 0.6667 0.3333 0.5000

- Energy above the most stable polymorph in this dataset: 0.000 eV/atom
- Electronic total energy: -4.640 eV per atom
- Fermi-level density of states: 1.793 states/eV/atom
- DFT formation energy: 6.5 kJ per mole of atoms